# 1
TcPd2I: optimized geometry, PBE.

abc: 6.411 6.411 6.411
angles: 117.33 117.33 94.69
Positions (direct):
1 Tc 0.000 0.000 0.000
2 Tc 0.750 0.250 0.500
3 Pd 0.088 0.625 0.963
4 Pd 0.375 0.338 0.463
5 Pd 0.662 0.125 0.037
6 Pd 0.875 0.912 0.537
7 I 0.250 0.750 0.500
8 I 0.500 0.500 0.000

crystal system	tetragonal
relative energy among the computed polymorphs	0.73	eV/f.u.
magnetization	1.46	μB per cell
E_form (uncorrected)	0.928	eV/atom



# 2
KYMn2: optimized geometry, PBE.

abc: 5.274 5.274 7.647
angles: 95.63 95.63 34.57
Positions (direct):
1 K 0.000 0.000 0.000
2 Y 0.500 0.500 0.500
3 Mn 0.241 0.241 0.640
4 Mn 0.759 0.759 0.360

crystal system	monoclinic
ΔE_f	0.734	eV/atom
relative energy among the computed polymorphs	1.04	eV/f.u.
magnetization	6.45	μB per cell